Record 1
Material: BaScAuO4
Method: DFT, PBE-GGA
State: relaxed

Output
uncorrected formation energy: -12.20 eV per formula unit
total moment: 0.81 μB per formula unit
DFT total energy: -6.22 eV per atom
crystal system: orthorhombic

POSCAR file:
```
BaScAuO4
1.0
-4.259 4.076 -0.779
1.071 -2.866 -5.098
-5.298 -5.192 1.806
Ba O Sc Au
2 8 2 2
Direct
0.500 0.500 0.500 Ba
0.500 0.500 0.000 Ba
0.229 0.232 0.750 O
0.768 0.771 0.750 O
0.786 0.214 0.010 O
0.771 0.768 0.250 O
0.214 0.786 0.510 O
0.786 0.214 0.490 O
0.232 0.229 0.250 O
0.214 0.786 0.990 O
0.881 0.119 0.250 Sc
0.119 0.881 0.750 Sc
0.808 0.192 0.750 Au
0.192 0.808 0.250 Au
```

Record 2
Material: TlIn2SnF
Method: DFT, PBE-GGA
State: relaxed

Output
uncorrected formation energy: -0.88 eV per formula unit
excess energy over the best structure of this formula in the dataset: 0 meV per atom
total moment: 0.00 μB per formula unit
DFT total energy: -2.92 eV per atom
crystal system: tetragonal

POSCAR file:
```
TlIn2SnF
1.0
-4.420 -3.651 1.006
1.213 -2.465 -3.617
3.453 -3.251 3.374
In F Tl Sn
2 1 1 1
Direct
0.000 0.000 0.500 In
0.500 0.000 0.000 In
0.000 0.500 0.000 F
0.000 0.000 0.000 Tl
0.500 0.500 0.500 Sn
```

Record 3
Material: BeFe2Cl
Method: DFT, PBE-GGA
State: relaxed

Output
uncorrected formation energy: 0.83 eV per formula unit
excess energy over the best structure of this formula in the dataset: 122 meV per atom
total moment: 4.91 μB per formula unit
DFT total energy: -5.42 eV per atom
crystal system: tetragonal

POSCAR file:
```
BeFe2Cl
1.0
-1.771 -1.207 2.044
1.883 -2.267 0.293
3.292 3.359 4.836
Be Fe Cl
1 2 1
Direct
0.000 0.000 0.382 Be
0.500 0.500 0.248 Fe
0.000 0.000 0.037 Fe
0.500 0.500 0.834 Cl
```

Record 4
Material: Ac2La3Pb3
Method: DFT, PBE-GGA
State: relaxed

Output
DFT formation energy: -0.4989 eV per atom
total moment: 0.00 μB per formula unit
DFT total energy: -4.76 eV per atom
crystal system: hexagonal

POSCAR file:
```
Ac2La3Pb3
1.0
-6.792 2.619 0.633
-2.476 -4.413 -8.313
-1.011 -4.671 8.477
Pb Ac La
6 4 6
Direct
0.750 0.612 0.000 Pb
0.750 0.000 0.612 Pb
0.250 0.612 0.612 Pb
0.250 0.388 0.000 Pb
0.750 0.388 0.388 Pb
0.250 0.000 0.388 Pb
0.000 0.333 0.667 Ac
0.000 0.667 0.333 Ac
0.500 0.667 0.333 Ac
0.500 0.333 0.667 Ac
0.250 0.240 0.240 La
0.750 0.760 0.760 La
0.750 0.000 0.240 La
0.250 0.000 0.760 La
0.750 0.240 0.000 La
0.250 0.760 0.000 La
```

Record 5
Material: NdNb2N4
Method: DFT, PBE-GGA
State: relaxed

Output
uncorrected formation energy: -7.68 eV per formula unit
total moment: 0.00 μB per formula unit
DFT total energy: -9.41 eV per atom
crystal system: orthorhombic

POSCAR file:
```
NdNb2N4
1.0
3.197 0.000 0.000
-1.598 5.190 0.000
0.000 0.000 10.534
N Nb Nd
8 4 2
Direct
0.500 0.000 0.500 N
0.766 0.533 0.110 N
0.234 0.467 0.890 N
0.067 0.134 0.250 N
0.933 0.866 0.750 N
0.766 0.533 0.390 N
0.234 0.467 0.610 N
0.500 0.000 0.000 N
0.871 0.741 0.935 Nb
0.871 0.741 0.565 Nb
0.129 0.259 0.065 Nb
0.129 0.259 0.435 Nb
0.384 0.769 0.250 Nd
0.616 0.231 0.750 Nd
```

Record 6
Material: SrTbAs2Rh2
Method: DFT, PBE-GGA
State: relaxed

Output
DFT formation energy: -0.9283 eV per atom
total moment: 0.00 μB per formula unit
DFT total energy: -5.98 eV per atom
crystal system: trigonal

POSCAR file:
```
SrTbAs2Rh2
1.0
4.403 0.000 0.000
-2.202 3.813 0.000
0.000 0.000 7.611
Tb Rh As Sr
1 2 2 1
Direct
0.000 0.000 0.500 Tb
0.333 0.667 0.688 Rh
0.667 0.333 0.312 Rh
0.667 0.333 0.719 As
0.333 0.667 0.281 As
0.000 0.000 0.000 Sr
```

Density of states at the Fermi level / states/eV per atom: 0.785; 0.558; 0.756; 1.028; 0.156; 0.531
Ρ / g cm⁻³: 5.82; 6.17; 4.38; 8.27; 7.34; 7.83